No. 1
## Sc2FeSb (PBE)

Data for Sc2FeSb after structural relaxation.

Calculated values
Total energy   -6.48 eV per atom

a b c (Å): 3.3121 3.3121 25.6947
angles (deg): 90.00 90.00 120.00
Sites, in units of the cell vectors:
Sc1 0.0000 0.0000 0.2352
Sc2 0.0000 0.0000 0.7648
Sc3 0.3333 0.6667 0.4315
Sc4 0.3333 0.6667 0.9019
Sc5 0.6667 0.3333 0.0981
Sc6 0.6667 0.3333 0.5685
Fe1 0.0000 0.0000 0.5000
Fe2 0.3333 0.6667 0.1667
Fe3 0.6667 0.3333 0.8333
Sb1 0.0000 0.0000 0.0000
Sb2 0.3333 0.6667 0.6667
Sb3 0.6667 0.3333 0.3333

***

No. 2
## V2CoP2 (PBE)

Data for V2CoP2 after structural relaxation.

Calculated values
Energy relative to the lowest polymorph listed for this composition   0.505 eV per atom
Calculated formation energy   -0.0762 eV/atom

a b c (Å): 3.2427 3.2427 12.5912
angles (deg): 90.00 90.00 90.00
Sites, in units of the cell vectors:
V1 0.0000 0.0000 0.1094
V2 0.0000 0.0000 0.8906
V3 0.5000 0.5000 0.3906
V4 0.5000 0.5000 0.6094
Co1 0.0000 0.0000 0.5000
Co2 0.5000 0.5000 0.0000
P1 0.0000 0.5000 0.2500
P2 0.0000 0.5000 0.7500
P3 0.5000 0.0000 0.2500
P4 0.5000 0.0000 0.7500

***

No. 3
## Ba2NdSn3Pt4 (PBE)

Data for Ba2NdSn3Pt4 after structural relaxation.

Calculated values
Calculated formation energy   -0.8387 eV/atom

a b c (Å): 4.7985 4.7985 11.2645
angles (deg): 90.00 90.00 90.00
Sites, in units of the cell vectors:
Ba1 0.0000 0.5000 0.2310
Ba2 0.5000 0.0000 0.7690
Nd1 0.0000 0.0000 0.5000
Sn1 0.0000 0.5000 0.8849
Sn2 0.5000 0.0000 0.1151
Sn3 0.5000 0.5000 0.5000
Pt1 0.0000 0.0000 0.0000
Pt2 0.0000 0.5000 0.6445
Pt3 0.5000 0.0000 0.3555
Pt4 0.5000 0.5000 0.0000

***

No. 4
## SrLi3Ni (PBE)

Data for SrLi3Ni after structural relaxation.

Calculated values
Energy relative to the lowest polymorph listed for this composition   0.000 eV per atom
Calculated formation energy   0.1420 eV/atom

a b c (Å): 4.8413 4.8413 4.8413
angles (deg): 90.00 90.00 90.00
Sites, in units of the cell vectors:
Sr1 0.0000 0.0000 0.0000
Li1 0.0000 0.5000 0.5000
Li2 0.5000 0.0000 0.5000
Li3 0.5000 0.5000 0.0000
Ni1 0.5000 0.5000 0.5000

***

Respective calculated density values: 5.5 5.6 10.0 2.4 Mg/m³.